Here is a geometry-optimized CaPrSiAg structure from the Alexandria database. Energies are from GGA-PBE.

Output
**Symmetry**: F-43m (216)
**Theoretical density**: 5.278 g/cm³
**V**: 24.93 Å³/atom
**E_form (uncorrected)**: -0.42 eV/atom
**M_tot**: 0.000 μB/f.u.
**E_tot**: -4.1794 eV per atom

a = 5.205 Å, b = 5.205 Å, c = 5.205 Å
α = 60.00°, β = 60.00°, γ = 60.00°
Element x y z (fractional)
Ca1 0.000 0.000 0.000
Pr1 0.500 0.500 0.500
Si1 0.250 0.250 0.250
Ag1 0.750 0.750 0.750


Here is a geometry-optimized RbRuPbBr2 structure from the Alexandria database. Energies are from GGA-PBE.

Output
**Symmetry**: P4/mmm (123)
**Theoretical density**: 3.617 g/cm³
**V**: 50.82 Å³/atom
**E_form (uncorrected)**: 0.69 eV/atom
**M_tot**: 3.992 μB/f.u.
**E_tot**: -2.7743 eV per atom

a = 5.865 Å, b = 5.865 Å, c = 7.386 Å
α = 90.00°, β = 90.00°, γ = 90.00°
Element x y z (fractional)
Rb1 0.000 0.000 0.000
Ru1 0.500 0.500 0.000
Pb1 0.000 0.000 0.500
Br1 0.000 0.500 0.500
Br2 0.500 0.000 0.500


Here is a geometry-optimized AlGaBr2 structure from the Alexandria database. Energies are from GGA-PBE.

Output
**Distance to the lowest polymorph of the same formula**: 0.21 eV per formula unit
**Symmetry**: R-3m (166)
**Theoretical density**: 3.207 g/cm³
**V**: 33.21 Å³/atom
**E_form (uncorrected)**: -0.20 eV/atom
**M_tot**: 0.000 μB/f.u.
**E_tot**: -2.7334 eV per atom

a = 9.484 Å, b = 9.484 Å, c = 9.484 Å
α = 24.88°, β = 24.88°, γ = 24.88°
Element x y z (fractional)
Al1 0.000 0.000 0.000
Ga1 0.500 0.500 0.500
Br1 0.096 0.096 0.096
Br2 0.904 0.904 0.904


Here is a geometry-optimized Ce2SmY3N6 structure from the Alexandria database. Energies are from GGA-PBE.

Output
**Symmetry**: C2/m (12)
**Theoretical density**: 6.986 g/cm³
**V**: 15.48 Å³/atom
**E_form (uncorrected)**: -1.60 eV/atom
**M_tot**: 0.246 μB/f.u.
**E_tot**: -8.7574 eV per atom

a = 6.106 Å, b = 6.106 Å, c = 6.102 Å
α = 99.59°, β = 99.59°, γ = 120.01°
Element x y z (fractional)
Ce1 0.167 0.833 0.000
Ce2 0.833 0.167 0.000
Sm1 0.500 0.500 0.000
Y1 0.000 0.000 0.500
Y2 0.333 0.667 0.500
Y3 0.667 0.333 0.500
N1 0.077 0.417 0.750
N2 0.245 0.245 0.253
N3 0.417 0.077 0.750
N4 0.583 0.923 0.250
N5 0.755 0.755 0.747
N6 0.923 0.583 0.250


Here is a geometry-optimized Li2Pm4Te3N2 structure from the Alexandria database. Energies are from GGA-PBE.

Output
**Symmetry**: I4/mmm (139)
**Theoretical density**: 5.998 g/cm³
**V**: 25.29 Å³/atom
**E_form (uncorrected)**: -1.12 eV/atom
**M_tot**: 0.000 μB/f.u.
**E_tot**: -5.5641 eV per atom

a = 12.234 Å, b = 12.234 Å, c = 12.234 Å
α = 157.05°, β = 157.05°, γ = 32.68°
Element x y z (fractional)
Li1 0.192 0.192 0.000
Li2 0.808 0.808 0.000
Pm1 0.094 0.594 0.500
Pm2 0.406 0.906 0.500
Pm3 0.594 0.094 0.500
Pm4 0.906 0.406 0.500
Te1 0.313 0.313 0.000
Te2 0.500 0.500 0.000
Te3 0.687 0.687 0.000
N1 0.105 0.105 0.000
N2 0.895 0.895 0.000


Here is a geometry-optimized CoPbAu2 structure from the Alexandria database. Energies are from GGA-PBE.

Output
**Symmetry**: R-3m (166)
**Theoretical density**: 13.897 g/cm³
**ΔE_f**: 0.325 eV per atom
**V**: 19.72 Å³/atom
**M_tot**: 1.880 μB/f.u.
**E_tot**: -4.0176 eV per atom

a = 9.267 Å, b = 9.267 Å, c = 9.267 Å
α = 19.67°, β = 19.67°, γ = 19.67°
Element x y z (fractional)
Co1 0.000 0.000 0.000
Pb1 0.500 0.500 0.500
Au1 0.263 0.263 0.263
Au2 0.737 0.737 0.737